*A*
This record from Alexandria describes Tb12Pr7Nd after structural relaxation. The functional is GGA-PBE.

```
data_Tb12Pr7Nd
_cell_length_a 9.888
_cell_length_b 9.888
_cell_length_c 9.888
_cell_angle_alpha 109.47
_cell_angle_beta 109.47
_cell_angle_gamma 109.47
_space_group_name_H-M_alt 'P 1'
_space_group_IT_number 1
_space_group_name_Hall 'P 1'
loop_
_atom_site_label
_atom_site_type_symbol
_atom_site_fract_x
_atom_site_fract_y
_atom_site_fract_z
Pr1 Pr 0.500 0.000 0.000
Pr2 Pr 0.000 0.500 0.500
Pr3 Pr 0.000 0.500 0.000
Pr4 Pr 0.500 0.000 0.500
Pr5 Pr 0.500 0.500 0.500
Pr6 Pr 0.000 0.000 0.500
Pr7 Pr 0.500 0.500 0.000
Tb1 Tb 0.499 0.249 0.250
Tb2 Tb 0.249 0.750 0.999
Tb3 Tb 0.250 0.499 0.249
Tb4 Tb 0.750 0.501 0.751
Tb5 Tb 0.999 0.249 0.750
Tb6 Tb 0.249 0.250 0.499
Tb7 Tb 0.501 0.751 0.750
Tb8 Tb 0.250 0.001 0.751
Tb9 Tb 0.751 0.250 0.001
Tb10 Tb 0.751 0.750 0.501
Tb11 Tb 0.001 0.751 0.250
Tb12 Tb 0.750 0.999 0.249
Nd1 Nd 0.000 0.000 0.000
```

Output
* space-group type: Im-3

*B*
This record from Alexandria describes Tb12Pr7Nd after structural relaxation. The functional is GGA-PBE.

```
data_Tb12Pr7Nd
_cell_length_a 8.864
_cell_length_b 8.864
_cell_length_c 8.864
_cell_angle_alpha 86.28
_cell_angle_beta 86.28
_cell_angle_gamma 86.28
_space_group_name_H-M_alt 'P 1'
_space_group_IT_number 1
_space_group_name_Hall 'P 1'
loop_
_atom_site_label
_atom_site_type_symbol
_atom_site_fract_x
_atom_site_fract_y
_atom_site_fract_z
Pr1 Pr 0.844 0.602 0.922
Pr2 Pr 0.156 0.398 0.078
Pr3 Pr 0.078 0.156 0.398
Pr4 Pr 0.602 0.922 0.844
Pr5 Pr 0.500 0.500 0.500
Pr6 Pr 0.922 0.844 0.602
Pr7 Pr 0.398 0.078 0.156
Tb1 Tb 0.147 0.745 0.276
Tb2 Tb 0.505 0.382 0.867
Tb3 Tb 0.867 0.505 0.382
Tb4 Tb 0.618 0.133 0.495
Tb5 Tb 0.495 0.618 0.133
Tb6 Tb 0.255 0.724 0.853
Tb7 Tb 0.382 0.867 0.505
Tb8 Tb 0.745 0.276 0.147
Tb9 Tb 0.133 0.495 0.618
Tb10 Tb 0.724 0.853 0.255
Tb11 Tb 0.853 0.255 0.724
Tb12 Tb 0.276 0.147 0.745
Nd1 Nd 0.000 0.000 0.000
```

Output
* space-group type: R-3

We find *B* to be the most stable, with the next structure 383 meV per atom higher.

*A*
This record from Alexandria describes Tb6Pr12Nd after structural relaxation. The functional is GGA-PBE.

```
data_Tb6Pr12Nd
_cell_length_a 8.939
_cell_length_b 8.939
_cell_length_c 8.939
_cell_angle_alpha 99.33
_cell_angle_beta 99.33
_cell_angle_gamma 99.33
_space_group_name_H-M_alt 'P 1'
_space_group_IT_number 1
_space_group_name_Hall 'P 1'
loop_
_atom_site_label
_atom_site_type_symbol
_atom_site_fract_x
_atom_site_fract_y
_atom_site_fract_z
Pr1 Pr 0.241 0.500 0.759
Pr2 Pr 0.647 0.917 0.647
Pr3 Pr 0.647 0.647 0.917
Pr4 Pr 0.353 0.083 0.353
Pr5 Pr 0.353 0.353 0.083
Pr6 Pr 0.759 0.241 0.500
Pr7 Pr 0.083 0.353 0.353
Pr8 Pr 0.500 0.241 0.759
Pr9 Pr 0.500 0.759 0.241
Pr10 Pr 0.241 0.759 0.500
Pr11 Pr 0.759 0.500 0.241
Pr12 Pr 0.917 0.647 0.647
Tb1 Tb 0.096 0.096 0.663
Tb2 Tb 0.337 0.904 0.904
Tb3 Tb 0.904 0.904 0.337
Tb4 Tb 0.663 0.096 0.096
Tb5 Tb 0.904 0.337 0.904
Tb6 Tb 0.096 0.663 0.096
Nd1 Nd 0.000 0.000 0.000
```

Output
* space-group type: R-3m

*B*
This record from Alexandria describes Tb6Pr12Nd after structural relaxation. The functional is GGA-PBE.

```
data_Tb6Pr12Nd
_cell_length_a 8.768
_cell_length_b 8.768
_cell_length_c 8.768
_cell_angle_alpha 88.89
_cell_angle_beta 88.89
_cell_angle_gamma 88.89
_space_group_name_H-M_alt 'P 1'
_space_group_IT_number 1
_space_group_name_Hall 'P 1'
loop_
_atom_site_label
_atom_site_type_symbol
_atom_site_fract_x
_atom_site_fract_y
_atom_site_fract_z
Nd1 Nd 0.000 0.000 0.000
Pr1 Pr 0.536 0.433 0.782
Pr2 Pr 0.982 0.805 0.637
Pr3 Pr 0.805 0.637 0.982
Pr4 Pr 0.567 0.218 0.464
Pr5 Pr 0.464 0.567 0.218
Pr6 Pr 0.637 0.982 0.805
Pr7 Pr 0.195 0.363 0.018
Pr8 Pr 0.218 0.464 0.567
Pr9 Pr 0.018 0.195 0.363
Pr10 Pr 0.363 0.018 0.195
Pr11 Pr 0.782 0.536 0.433
Pr12 Pr 0.433 0.782 0.536
Tb1 Tb 0.099 0.702 0.259
Tb2 Tb 0.901 0.298 0.741
Tb3 Tb 0.259 0.099 0.702
Tb4 Tb 0.741 0.901 0.298
Tb5 Tb 0.702 0.259 0.099
Tb6 Tb 0.298 0.741 0.901
```

Output
* space-group type: R-3

We find *B* to be the most stable, with the next structure 60 meV per atom higher.

*A*
This record from Alexandria describes Tb6PrNd4 after structural relaxation. The functional is GGA-PBE.

```
data_Tb6PrNd4
_cell_length_a 3.557
_cell_length_b 11.104
_cell_length_c 11.104
_cell_angle_alpha 120.00
_cell_angle_beta 90.00
_cell_angle_gamma 90.00
_space_group_name_H-M_alt 'P 1'
_space_group_IT_number 1
_space_group_name_Hall 'P 1'
loop_
_atom_site_label
_atom_site_type_symbol
_atom_site_fract_x
_atom_site_fract_y
_atom_site_fract_z
Pr1 Pr 0.000 0.000 0.000
Nd1 Nd 0.000 0.333 0.667
Nd2 Nd 0.500 0.394 0.197
Nd3 Nd 0.500 0.803 0.197
Nd4 Nd 0.500 0.803 0.606
Tb1 Tb 0.500 0.170 0.830
Tb2 Tb 0.000 0.497 0.503
Tb3 Tb 0.500 0.660 0.830
Tb4 Tb 0.000 0.497 0.993
Tb5 Tb 0.500 0.170 0.340
Tb6 Tb 0.000 0.007 0.503
```

Output
* space-group type: P-6m2

*B*
This record from Alexandria describes Tb6PrNd4 after structural relaxation. The functional is GGA-PBE.

```
data_Tb6PrNd4
_cell_length_a 9.763
_cell_length_b 9.763
_cell_length_c 9.763
_cell_angle_alpha 58.28
_cell_angle_beta 139.72
_cell_angle_gamma 139.72
_space_group_name_H-M_alt 'P 1'
_space_group_IT_number 1
_space_group_name_Hall 'P 1'
loop_
_atom_site_label
_atom_site_type_symbol
_atom_site_fract_x
_atom_site_fract_y
_atom_site_fract_z
Tb1 Tb 0.355 0.553 0.553
Tb2 Tb 0.645 0.198 0.198
Tb3 Tb 0.000 0.447 0.802
Tb4 Tb 0.500 0.500 0.000
Tb5 Tb 0.500 0.000 0.500
Tb6 Tb 0.000 0.802 0.447
Nd1 Nd 0.381 0.367 0.367
Nd2 Nd 0.619 0.986 0.986
Nd3 Nd 0.000 0.014 0.633
Nd4 Nd 0.000 0.633 0.014
Pr1 Pr 0.000 0.000 0.000
```

Output
* space-group type: I-42m

We find *A* to be the most stable, with the next structure 154 meV per atom higher.

*A*
This record from Alexandria describes Tb2Pr7Nd after structural relaxation. The functional is GGA-PBE.

```
data_Tb2Pr7Nd
_cell_length_a 5.763
_cell_length_b 9.368
_cell_length_c 9.369
_cell_angle_alpha 122.59
_cell_angle_beta 90.00
_cell_angle_gamma 90.00
_space_group_name_H-M_alt 'P 1'
_space_group_IT_number 1
_space_group_name_Hall 'P 1'
loop_
_atom_site_label
_atom_site_type_symbol
_atom_site_fract_x
_atom_site_fract_y
_atom_site_fract_z
Pr1 Pr 0.000 0.772 0.228
Pr2 Pr 0.500 0.935 0.705
Pr3 Pr 0.000 0.228 0.772
Pr4 Pr 0.500 0.065 0.295
Pr5 Pr 0.500 0.500 0.500
Pr6 Pr 0.500 0.295 0.065
Pr7 Pr 0.500 0.705 0.935
Tb1 Tb 0.500 0.296 0.704
Tb2 Tb 0.500 0.704 0.296
Nd1 Nd 0.000 0.000 0.000
```

Output
* space-group type: Cmmm

*B*
This record from Alexandria describes Tb2Pr7Nd after structural relaxation. The functional is GGA-PBE.

```
data_Tb2Pr7Nd
_cell_length_a 3.541
_cell_length_b 10.561
_cell_length_c 10.561
_cell_angle_alpha 109.11
_cell_angle_beta 90.00
_cell_angle_gamma 90.00
_space_group_name_H-M_alt 'P 1'
_space_group_IT_number 1
_space_group_name_Hall 'P 1'
loop_
_atom_site_label
_atom_site_type_symbol
_atom_site_fract_x
_atom_site_fract_y
_atom_site_fract_z
Pr1 Pr 0.500 0.614 0.875
Pr2 Pr 0.500 0.125 0.386
Pr3 Pr 0.500 0.500 0.500
Pr4 Pr 0.500 0.386 0.125
Pr5 Pr 0.000 0.678 0.322
Pr6 Pr 0.500 0.875 0.614
Pr7 Pr 0.000 0.322 0.678
Tb1 Tb 0.500 0.832 0.168
Tb2 Tb 0.500 0.168 0.832
Nd1 Nd 0.000 0.000 0.000
```

Output
* space-group type: Cmmm

We find *B* to be the most stable, with the next structure 261 meV per atom higher.

*A*
This record from Alexandria describes TbPr8Nd2 after structural relaxation. The functional is GGA-PBE.

```
data_TbPr8Nd2
_cell_length_a 6.848
_cell_length_b 10.478
_cell_length_c 10.478
_cell_angle_alpha 38.59
_cell_angle_beta 59.93
_cell_angle_gamma 59.93
_space_group_name_H-M_alt 'P 1'
_space_group_IT_number 1
_space_group_name_Hall 'P 1'
loop_
_atom_site_label
_atom_site_type_symbol
_atom_site_fract_x
_atom_site_fract_y
_atom_site_fract_z
Nd1 Nd 0.419 0.195 0.195
Nd2 Nd 0.581 0.805 0.805
Pr1 Pr 0.768 0.176 0.651
Pr2 Pr 0.731 0.592 0.592
Pr3 Pr 0.831 0.244 0.244
Pr4 Pr 0.768 0.651 0.176
Pr5 Pr 0.269 0.408 0.408
Pr6 Pr 0.232 0.349 0.824
Pr7 Pr 0.169 0.756 0.756
Pr8 Pr 0.232 0.824 0.349
Tb1 Tb 0.000 0.000 0.000
```

Output
* space-group type: C2/m

*B*
This record from Alexandria describes TbPr8Nd2 after structural relaxation. The functional is GGA-PBE.

```
data_TbPr8Nd2
_cell_length_a 6.085
_cell_length_b 9.282
_cell_length_c 9.609
_cell_angle_alpha 61.12
_cell_angle_beta 74.62
_cell_angle_gamma 56.69
_space_group_name_H-M_alt 'P 1'
_space_group_IT_number 1
_space_group_name_Hall 'P 1'
loop_
_atom_site_label
_atom_site_type_symbol
_atom_site_fract_x
_atom_site_fract_y
_atom_site_fract_z
Tb1 Tb 0.500 0.000 0.000
Pr1 Pr 0.297 0.420 0.000
Pr2 Pr 0.178 0.901 0.767
Pr3 Pr 0.822 0.099 0.233
Pr4 Pr 0.822 0.332 0.767
Pr5 Pr 0.500 0.795 0.410
Pr6 Pr 0.178 0.668 0.233
Pr7 Pr 0.703 0.580 0.000
Pr8 Pr 0.500 0.205 0.590
Nd1 Nd 0.000 0.692 0.616
Nd2 Nd 0.000 0.308 0.384
```

Output
* space-group type: C2/m

We find *B* to be the most stable, with the next structure 15 meV per atom higher.

*A*
This record from Alexandria describes TbPr2Nd4 after structural relaxation. The functional is GGA-PBE.

```
data_TbPr2Nd4
_cell_length_a 9.510
_cell_length_b 7.006
_cell_length_c 8.756
_cell_angle_alpha 76.01
_cell_angle_beta 115.21
_cell_angle_gamma 108.96
_space_group_name_H-M_alt 'P 1'
_space_group_IT_number 1
_space_group_name_Hall 'P 1'
loop_
_atom_site_label
_atom_site_type_symbol
_atom_site_fract_x
_atom_site_fract_y
_atom_site_fract_z
Nd1 Nd 0.530 0.790 0.844
Nd2 Nd 0.673 0.221 0.561
Nd3 Nd 0.936 0.170 0.369
Nd4 Nd 0.220 0.031 0.797
Nd5 Nd 0.077 0.600 0.084
Nd6 Nd 0.245 0.937 0.416
Nd7 Nd 0.386 0.365 0.132
Nd8 Nd 0.791 0.746 0.656
Pr1 Pr 0.505 0.888 0.227
Pr2 Pr 0.101 0.505 0.702
Pr3 Pr 0.817 0.648 0.274
Pr4 Pr 0.649 0.315 0.939
Tb1 Tb 0.960 0.077 0.989
Tb2 Tb 0.362 0.458 0.511
```

Output
* space-group type: P1

*B*
This record from Alexandria describes TbPr2Nd4 after structural relaxation. The functional is GGA-PBE.

```
data_TbPr2Nd4
_cell_length_a 3.675
_cell_length_b 3.675
_cell_length_c 21.067
_cell_angle_alpha 85.00
_cell_angle_beta 85.00
_cell_angle_gamma 60.00
_space_group_name_H-M_alt 'P 1'
_space_group_IT_number 1
_space_group_name_Hall 'P 1'
loop_
_atom_site_label
_atom_site_type_symbol
_atom_site_fract_x
_atom_site_fract_y
_atom_site_fract_z
Nd1 Nd 0.713 0.713 0.860
Nd2 Nd 0.287 0.287 0.140
Nd3 Nd 0.143 0.143 0.571
Nd4 Nd 0.857 0.857 0.429
Pr1 Pr 0.572 0.572 0.284
Pr2 Pr 0.428 0.428 0.716
Tb1 Tb 0.000 0.000 0.000
```

Output
* space-group type: R-3m

We find *B* to be the most stable, with the next structure 21 meV per atom higher.

*A*
This record from Alexandria describes Tb3PrNd5 after structural relaxation. The functional is GGA-PBE.

```
data_Tb3PrNd5
_cell_length_a 9.561
_cell_length_b 9.561
_cell_length_c 12.458
_cell_angle_alpha 54.37
_cell_angle_beta 54.37
_cell_angle_gamma 49.91
_space_group_name_H-M_alt 'P 1'
_space_group_IT_number 1
_space_group_name_Hall 'P 1'
loop_
_atom_site_label
_atom_site_type_symbol
_atom_site_fract_x
_atom_site_fract_y
_atom_site_fract_z
Nd1 Nd 0.781 0.355 0.212
Nd2 Nd 0.258 0.258 0.138
Nd3 Nd 0.355 0.781 0.212
Nd4 Nd 0.328 0.672 0.000
Nd5 Nd 0.645 0.219 0.788
Nd6 Nd 0.621 0.621 0.440
Nd7 Nd 0.219 0.645 0.788
Nd8 Nd 0.672 0.328 0.000
Nd9 Nd 0.379 0.379 0.560
Nd10 Nd 0.742 0.742 0.862
Tb1 Tb 0.669 0.669 0.665
Tb2 Tb 0.000 0.000 0.000
Tb3 Tb 0.792 0.792 0.085
Tb4 Tb 0.208 0.208 0.915
Tb5 Tb 0.331 0.331 0.335
Tb6 Tb 0.000 0.000 0.500
Pr1 Pr 0.875 0.875 0.334
Pr2 Pr 0.125 0.125 0.666
```

Output
* space-group type: C2/m

*B*
This record from Alexandria describes Tb3PrNd5 after structural relaxation. The functional is GGA-PBE.

```
data_Tb3PrNd5
_cell_length_a 11.140
_cell_length_b 11.140
_cell_length_c 11.655
_cell_angle_alpha 56.22
_cell_angle_beta 56.22
_cell_angle_gamma 32.71
_space_group_name_H-M_alt 'P 1'
_space_group_IT_number 1
_space_group_name_Hall 'P 1'
loop_
_atom_site_label
_atom_site_type_symbol
_atom_site_fract_x
_atom_site_fract_y
_atom_site_fract_z
Nd1 Nd 0.370 0.990 0.476
Nd2 Nd 0.461 0.821 0.872
Nd3 Nd 0.539 0.179 0.128
Nd4 Nd 0.395 0.605 0.750
Nd5 Nd 0.821 0.461 0.372
Nd6 Nd 0.990 0.370 0.976
Nd7 Nd 0.010 0.630 0.024
Nd8 Nd 0.630 0.010 0.524
Nd9 Nd 0.605 0.395 0.250
Nd10 Nd 0.179 0.539 0.628
Pr1 Pr 0.877 0.123 0.750
Pr2 Pr 0.123 0.877 0.250
Tb1 Tb 0.402 0.954 0.173
Tb2 Tb 0.598 0.046 0.827
Tb3 Tb 0.000 0.000 0.500
Tb4 Tb 0.000 0.000 0.000
Tb5 Tb 0.954 0.402 0.673
Tb6 Tb 0.046 0.598 0.327
```

Output
* space-group type: C2/c

We find *B* to be the most stable, with the next structure 124 meV per atom higher.

*A*
This record from Alexandria describes Tb3Pr4Nd after structural relaxation. The functional is GGA-PBE.

```
data_Tb3Pr4Nd
_cell_length_a 7.297
_cell_length_b 7.291
_cell_length_c 10.352
_cell_angle_alpha 90.00
_cell_angle_beta 90.00
_cell_angle_gamma 90.00
_space_group_name_H-M_alt 'P 1'
_space_group_IT_number 1
_space_group_name_Hall 'P 1'
loop_
_atom_site_label
_atom_site_type_symbol
_atom_site_fract_x
_atom_site_fract_y
_atom_site_fract_z
Nd1 Nd 0.500 0.811 0.000
Nd2 Nd 0.500 0.311 0.500
Pr1 Pr 0.752 0.061 0.750
Pr2 Pr 0.000 0.811 0.000
Pr3 Pr 0.000 0.311 0.500
Pr4 Pr 0.500 0.310 0.000
Pr5 Pr 0.248 0.561 0.750
Pr6 Pr 0.752 0.061 0.250
Pr7 Pr 0.500 0.810 0.500
Pr8 Pr 0.248 0.561 0.250
Tb1 Tb 0.752 0.561 0.250
Tb2 Tb 0.000 0.810 0.500
Tb3 Tb 0.752 0.561 0.750
Tb4 Tb 0.248 0.061 0.750
Tb5 Tb 0.000 0.310 0.000
Tb6 Tb 0.248 0.061 0.250
```

Output
* space-group type: Pmna

*B*
This record from Alexandria describes Tb3Pr4Nd after structural relaxation. The functional is GGA-PBE.

```
data_Tb3Pr4Nd
_cell_length_a 6.375
_cell_length_b 7.387
_cell_length_c 11.814
_cell_angle_alpha 90.00
_cell_angle_beta 90.00
_cell_angle_gamma 90.00
_space_group_name_H-M_alt 'P 1'
_space_group_IT_number 1
_space_group_name_Hall 'P 1'
loop_
_atom_site_label
_atom_site_type_symbol
_atom_site_fract_x
_atom_site_fract_y
_atom_site_fract_z
Pr1 Pr 0.482 0.873 0.247
Pr2 Pr 0.644 0.129 0.500
Pr3 Pr 0.144 0.871 0.000
Pr4 Pr 0.982 0.127 0.747
Pr5 Pr 0.650 0.129 0.000
Pr6 Pr 0.150 0.871 0.500
Pr7 Pr 0.482 0.873 0.753
Pr8 Pr 0.982 0.127 0.253
Tb1 Tb 0.480 0.379 0.750
Tb2 Tb 0.147 0.379 0.500
Tb3 Tb 0.647 0.621 0.000
Tb4 Tb 0.980 0.621 0.750
Tb5 Tb 0.480 0.379 0.250
Tb6 Tb 0.980 0.621 0.250
Nd1 Nd 0.649 0.624 0.500
Nd2 Nd 0.149 0.376 0.000
```

Output
* space-group type: Pmn2_1

We find *A* to be the most stable, with the next structure 16 meV per atom higher.